This record from Alexandria via LeMat-Bulk describes crystalline HoAlCr2O6 at its relaxed geometry. The functional is GGA+U.

## Properties
* final energy: -7.879 eV per atom
* M_tot: 6.00 μB per formula unit
* crystal system: trigonal

a = 5.1953 Å, b = 5.1954 Å, c = 5.5108 Å
α = 61.87°, β = 61.88°, γ = 60.00°
With the nearest neighbours (Å) after each atom.
Fractional coordinates of all 10 atoms:
Ho 0.7988 0.7989 0.6034  6 O 2.16-2.40
O 0.3732 0.7140 0.7568  1 Al 1.98, 2 Cr 1.99-2.06, 1 Ho 2.16
Al 0.3179 0.3180 0.0461  6 O 1.94-1.98
Cr 0.5195 0.5195 0.4415  6 O 2.04-2.06
O 0.9284 0.6010 0.2301  1 Al 1.94, 2 Cr 2.04-2.07
Cr 0.0122 0.0122 0.9634  6 O 1.99-2.07
O 0.2406 0.9284 0.2300  1 Al 1.94, 2 Cr 2.04-2.07
O 0.7140 0.1558 0.7569  1 Al 1.98, 2 Cr 1.99-2.06, 1 Ho 2.16
O 0.1559 0.3732 0.7568  1 Al 1.98, 2 Cr 1.99-2.06, 1 Ho 2.16
O 0.6011 0.2406 0.2300  1 Al 1.94, 2 Cr 2.04-2.07